A plane-wave DFT calculation with GGA+U was carried out for a relaxed structure of K2CdMoF6.

Summary:
total moment = 4.00 μB per formula unit
symmetry = No. 59
raw total energy = -89.74 eV for the cell shown

```
data_K2CdMoF6
_space_group_name_H-M_alt 'P 1'
_space_group_IT_number 1
_cell_length_a 6.297
_cell_length_b 6.605
_cell_length_c 8.856
_cell_angle_alpha 90.00
_cell_angle_beta 90.00
_cell_angle_gamma 90.00
loop_
_space_group_symop_operation_xyz
'x,y,z'
loop_
_atom_site_label
_atom_site_type_symbol
_atom_site_fract_x
_atom_site_fract_y
_atom_site_fract_z
F1 F 0.500 0.250 0.742
F2 F 0.761 0.022 0.000
F3 F 0.260 0.520 0.500
F4 F 0.739 0.978 0.500
F5 F 0.239 0.022 0.000
F6 F 0.000 0.750 0.758
F7 F 0.261 0.978 0.500
F8 F 0.760 0.480 0.000
F9 F 0.240 0.480 0.000
F10 F 0.000 0.750 0.242
F11 F 0.740 0.520 0.500
F12 F 0.500 0.250 0.258
K1 K 0.000 0.251 0.776
K2 K 0.500 0.749 0.724
K3 K 0.000 0.251 0.224
K4 K 0.500 0.749 0.276
Mo1 Mo 0.500 0.249 0.500
Mo2 Mo 0.000 0.751 0.000
Cd1 Cd 0.000 0.750 0.500
Cd2 Cd 0.500 0.250 0.000
```